Here is Si2PPt2 at its PBEsol-relaxed geometry from Alexandria. Energies are from SCAN.

The value obtained for the formation energy (no corrections) is -13.8 kJ/mol of atoms. As for the volume: 157 Å³/cell.

It has space group I4/mmm (No. 139), with a = 3.8890 Å, b = 3.8890 Å, c = 10.3497 Å, α = 90.00°, β = 90.00° and γ = 90.00°. The distinct sites, in fractional coordinates, are Si at (0.0000, 0.0000, 0.1083), P at (0.0000, 0.0000, 0.5000) and Pt at (0.0000, 0.5000, 0.2500).

Here is LiZr2Os at its PBEsol-relaxed geometry from Alexandria. Energies are from SCAN.

The calculation puts the polymorph energy (0 for the lowest one) at 547.5 meV per atom. As for the volume: 243 Å³/cell. The formation energy is 2.71 kcal/mol of atoms.

It has space group R-3m (No. 166, hexagonal axes), with a = 3.2185 Å, b = 3.2185 Å, c = 27.0742 Å, α = 90.00°, β = 90.00° and γ = 120.00°. The distinct sites, in fractional coordinates, are Li at (0.0000, 0.0000, 0.0000), Zr at (0.0000, 0.0000, 0.2383) and Os at (0.0000, 0.0000, 0.5000).

Here is KAl2Pt at its PBEsol-relaxed geometry from Alexandria. Energies are from SCAN.

As for the volume: 204 Å³/cell. The formation energy is -15.39 kcal/mol of atoms.

It has space group Cm (No. 8), with a = 7.5340 Å, b = 4.3501 Å, c = 6.7263 Å, α = 90.00°, β = 112.07° and γ = 90.00°. The distinct sites, in fractional coordinates, are K at (0.0000, 0.0000, 0.0000), Al at (0.0225, 0.5000, 0.5680), Al at (0.3180, 0.5000, 0.4556) and Pt at (0.1756, 0.0000, 0.5276).

Here is In2SiBr at its PBEsol-relaxed geometry from Alexandria. Energies are from SCAN.

The value obtained for the formation energy (no corrections) is -3.6 kJ/mol of atoms. The calculation puts the polymorph energy (0 for the lowest one) at 0.0 meV per atom. As for the volume: 303 Å³/cell.

It has space group R-3m (No. 166, hexagonal axes), with a = 4.1241 Å, b = 4.1241 Å, c = 20.5546 Å, α = 90.00°, β = 90.00° and γ = 120.00°. The distinct sites, in fractional coordinates, are In at (0.0000, 0.0000, 0.2307), Si at (0.0000, 0.0000, 0.5000) and Br at (0.0000, 0.0000, 0.0000).

Here is Ta3Pt4 at its PBEsol-relaxed geometry from Alexandria. Energies are from SCAN.

As for the volume: 227 Å³/cell. The formation energy is -18.51 kcal/mol of atoms.

It has space group I4/mmm (No. 139), with a = 3.3488 Å, b = 3.3488 Å, c = 20.2031 Å, α = 90.00°, β = 90.00° and γ = 90.00°. The distinct sites, in fractional coordinates, are Ta at (0.0000, 0.0000, 0.0000), Ta at (0.0000, 0.0000, 0.2933), Pt at (0.0000, 0.0000, 0.1437) and Pt at (0.0000, 0.0000, 0.4322).

Here is Ba2HgSe at its PBEsol-relaxed geometry from Alexandria. Energies are from SCAN.

The value obtained for the formation energy (no corrections) is -127.9 kJ/mol of atoms. The calculation puts the polymorph energy (0 for the lowest one) at 17.6 meV per atom. As for the volume: 130 Å³/cell.

It has space group P4/mmm (No. 123), with a = 4.0666 Å, b = 4.0666 Å, c = 7.8883 Å, α = 90.00°, β = 90.00° and γ = 90.00°. The distinct sites, in fractional coordinates, are Ba at (0.0000, 0.0000, 0.2343), Hg at (0.5000, 0.5000, 0.5000) and Se at (0.5000, 0.5000, 0.0000).

Here is Zr2ScW at its PBEsol-relaxed geometry from Alexandria. Energies are from SCAN.

As for the volume: 79 Å³/cell. The formation energy is 4.50 kcal/mol of atoms.

It has space group Pm (No. 6), with a = 2.9850 Å, b = 4.7035 Å, c = 5.8246 Å, α = 90.00°, β = 103.85° and γ = 90.00°. The distinct sites, in fractional coordinates, are Zr at (0.0000, 0.0000, 0.0000), Zr at (0.3245, 0.5000, 0.7384), Sc at (0.6859, 0.5000, 0.2729) and W at (0.4769, 0.0000, 0.5100).

Here is MgTiMn2Co at its PBEsol-relaxed geometry from Alexandria. Energies are from SCAN.

As for the volume: 88 Å³/cell. The formation energy is 6.27 kcal/mol of atoms.

It has space group P4/mmm (No. 123), with a = 4.5605 Å, b = 4.5605 Å, c = 4.2094 Å, α = 90.00°, β = 90.00° and γ = 90.00°. The distinct sites, in fractional coordinates, are Mg at (0.0000, 0.0000, 0.0000), Ti at (0.5000, 0.5000, 0.0000), Mn at (0.0000, 0.5000, 0.5000) and Co at (0.5000, 0.5000, 0.5000).

Here is AlCu3 at its PBEsol-relaxed geometry from Alexandria. Energies are from SCAN.

As for the volume: 95 Å³/cell. The formation energy is -5.96 kcal/mol of atoms.

It has space group Immm (No. 71), with a = 3.5693 Å, b = 3.6279 Å, c = 7.3630 Å, α = 90.00°, β = 90.00° and γ = 90.00°. The distinct sites, in fractional coordinates, are Al at (0.0000, 0.0000, 0.0000), Cu at (0.0000, 0.0000, 0.5000) and Cu at (0.0000, 0.5000, 0.2501).

Here is ZrTa2Al2 at its PBEsol-relaxed geometry from Alexandria. Energies are from SCAN.

As for the volume: 189 Å³/cell. The formation energy is 7.64 kcal/mol of atoms.

It has space group I4/mmm (No. 139), with a = 3.6818 Å, b = 3.6818 Å, c = 13.9568 Å, α = 90.00°, β = 90.00° and γ = 90.00°. The distinct sites, in fractional coordinates, are Zr at (0.0000, 0.0000, 0.0000), Ta at (0.0000, 0.0000, 0.4027) and Al at (0.0000, 0.5000, 0.2500).

Here is Ge2Mo at its PBEsol-relaxed geometry from Alexandria. Energies are from SCAN.

As for the volume: 89 Å³/cell. The formation energy is -4.51 kcal/mol of atoms.

It has space group I4/mmm (No. 139), with a = 3.2949 Å, b = 3.2949 Å, c = 8.1861 Å, α = 90.00°, β = 90.00° and γ = 90.00°. The distinct sites, in fractional coordinates, are Ge at (0.0000, 0.0000, 0.1621) and Mo at (0.0000, 0.0000, 0.5000).

Here is ZnIBr2 at its PBEsol-relaxed geometry from Alexandria. Energies are from SCAN.

The value obtained for the formation energy (no corrections) is -19.6 kJ/mol of atoms. As for the volume: 397 Å³/cell.

It has space group R-3m (No. 166, hexagonal axes), with a = 3.6962 Å, b = 3.6962 Å, c = 33.5695 Å, α = 90.00°, β = 90.00° and γ = 120.00°. The distinct sites, in fractional coordinates, are Zn at (0.0000, 0.0000, 0.0000), I at (0.0000, 0.0000, 0.5000) and Br at (0.0000, 0.0000, 0.0651).

Here is Mg2NiPt at its PBEsol-relaxed geometry from Alexandria. Energies are from SCAN.

As for the volume: 120 Å³/cell. The formation energy is -11.90 kcal/mol of atoms.

It has space group Cm (No. 8), with a = 9.6236 Å, b = 2.8577 Å, c = 4.5538 Å, α = 90.00°, β = 107.12° and γ = 90.00°. The distinct sites, in fractional coordinates, are Mg at (0.0000, 0.0000, 0.0000), Mg at (0.2108, 0.0000, 0.6342), Ni at (0.4665, 0.0000, 0.4881) and Pt at (0.2504, 0.5000, 0.1569).

Here is BaZrOs2Au at its PBEsol-relaxed geometry from Alexandria. Energies are from SCAN.

As for the volume: 128 Å³/cell. The formation energy is 62.90 kcal/mol of atoms.

It has space group P4/mmm (No. 123), with a = 4.9353 Å, b = 4.9353 Å, c = 5.2684 Å, α = 90.00°, β = 90.00° and γ = 90.00°. The distinct sites, in fractional coordinates, are Ba at (0.0000, 0.0000, 0.0000), Zr at (0.5000, 0.5000, 0.5000), Os at (0.0000, 0.5000, 0.0000) and Au at (0.0000, 0.0000, 0.5000).

Here is La2AgHg at its PBEsol-relaxed geometry from Alexandria. Energies are from SCAN.

As for the volume: 355 Å³/cell. The formation energy is -6.99 kcal/mol of atoms.

It has space group R-3m (No. 166, hexagonal axes), with a = 3.9010 Å, b = 3.9010 Å, c = 26.9407 Å, α = 90.00°, β = 90.00° and γ = 120.00°. The distinct sites, in fractional coordinates, are La at (0.0000, 0.0000, 0.2471), Ag at (0.0000, 0.0000, 0.5000) and Hg at (0.0000, 0.0000, 0.0000).

Here is Tl2OsRu at its PBEsol-relaxed geometry from Alexandria. Energies are from SCAN.

The calculation puts the polymorph energy (0 for the lowest one) at 0.0 meV per atom. As for the volume: 221 Å³/cell. The formation energy is 16.97 kcal/mol of atoms.

It has space group R3m (No. 160, hexagonal axes), with a = 2.9635 Å, b = 2.9635 Å, c = 29.1201 Å, α = 90.00°, β = 90.00° and γ = 120.00°. The distinct sites, in fractional coordinates, are Tl at (0.0000, 0.0000, 0.0000), Tl at (0.0000, 0.0000, 0.2319), Os at (0.0000, 0.0000, 0.7510) and Ru at (0.0000, 0.0000, 0.4836).

Here is SbAu5 at its PBEsol-relaxed geometry from Alexandria. Energies are from SCAN.

The value obtained for the formation energy (no corrections) is 7.0 kJ/mol of atoms. As for the volume: 218 Å³/cell.

It has space group Cmmm (No. 65), with a = 4.2443 Å, b = 12.5563 Å, c = 4.0863 Å, α = 90.00°, β = 90.00° and γ = 90.00°. The distinct sites, in fractional coordinates, are Sb at (0.0000, 0.0000, 0.0000), Au at (0.0000, 0.1711, 0.5000), Au at (0.0000, 0.3312, 0.0000) and Au at (0.0000, 0.5000, 0.5000).

Here is SiP at its PBEsol-relaxed geometry from Alexandria. Energies are from SCAN.

The value obtained for the formation energy (no corrections) is 23.9 kJ/mol of atoms. As for the volume: 146 Å³/cell.

It has space group F-43m (No. 216), with a = 5.2713 Å, b = 5.2713 Å, c = 5.2713 Å, α = 90.00°, β = 90.00° and γ = 90.00°. The distinct sites, in fractional coordinates, are Si at (0.0000, 0.0000, 0.0000) and P at (0.2500, 0.2500, 0.2500).

Here is Co2AgAs at its PBEsol-relaxed geometry from Alexandria. Energies are from SCAN.

As for the volume: 108 Å³/cell. The formation energy is 6.92 kcal/mol of atoms.

It has space group Amm2 (No. 38), with a = 3.9996 Å, b = 2.7570 Å, c = 9.8240 Å, α = 90.00°, β = 90.00° and γ = 90.00°. The distinct sites, in fractional coordinates, are Co at (0.0000, 0.0000, 0.0000), Co at (0.5000, 0.0000, 0.4047), Ag at (0.5000, 0.0000, 0.6557) and As at (0.0000, 0.0000, 0.2954).

Here is Y3Zr at its PBEsol-relaxed geometry from Alexandria. Energies are from SCAN.

The calculation puts the polymorph energy (0 for the lowest one) at 28.1 meV per atom. As for the volume: 226 Å³/cell. The formation energy is 2.37 kcal/mol of atoms.

It has space group P6_3/mmc (No. 194), with a = 6.9518 Å, b = 6.9518 Å, c = 5.4074 Å, α = 90.00°, β = 90.00° and γ = 120.00°. The distinct sites, in fractional coordinates, are Y at (0.1722, 0.3444, 0.2500) and Zr at (0.3333, 0.6667, 0.7500).

Here is ScH2AuN at its PBEsol-relaxed geometry from Alexandria. Energies are from SCAN.

The total energy is -20.2204 eV per atom. As for the volume: 54 Å³/cell.

It has space group P4/mmm (No. 123), with a = 3.2900 Å, b = 3.2900 Å, c = 5.0086 Å, α = 90.00°, β = 90.00° and γ = 90.00°. The distinct sites, in fractional coordinates, are Sc at (0.0000, 0.0000, 0.0000), H at (0.0000, 0.5000, 0.5000), Au at (0.5000, 0.5000, 0.5000) and N at (0.5000, 0.5000, 0.0000).

Here is Ba2CaCd2 at its PBEsol-relaxed geometry from Alexandria. Energies are from SCAN.

As for the volume: 382 Å³/cell. The formation energy is -6.19 kcal/mol of atoms.

It has space group P4/mbm (No. 127), with a = 9.1633 Å, b = 9.1633 Å, c = 4.5470 Å, α = 90.00°, β = 90.00° and γ = 90.00°. The distinct sites, in fractional coordinates, are Ba at (0.1598, 0.3402, 0.0000), Ca at (0.0000, 0.0000, 0.5000) and Cd at (0.1336, 0.6336, 0.5000).

Here is CsClF2 at its PBEsol-relaxed geometry from Alexandria. Energies are from SCAN.

The value obtained for the formation energy (no corrections) is -172.9 kJ/mol of atoms. As for the volume: 350 Å³/cell.

It has space group R-3m (No. 166, hexagonal axes), with a = 4.8935 Å, b = 4.8935 Å, c = 16.8621 Å, α = 90.00°, β = 90.00° and γ = 120.00°. The distinct sites, in fractional coordinates, are Cs at (0.0000, 0.0000, 0.0000), Cl at (0.0000, 0.0000, 0.5000) and F at (0.0000, 0.0000, 0.3894).

Here is CsK2RbI at its PBEsol-relaxed geometry from Alexandria. Energies are from SCAN.

The value obtained for the formation energy (no corrections) is -56.4 kJ/mol of atoms. As for the volume: 367 Å³/cell.

It has space group P4/mmm (No. 123), with a = 7.0083 Å, b = 7.0083 Å, c = 7.4794 Å, α = 90.00°, β = 90.00° and γ = 90.00°. The distinct sites, in fractional coordinates, are Cs at (0.0000, 0.0000, 0.0000), K at (0.0000, 0.5000, 0.5000), Rb at (0.5000, 0.5000, 0.0000) and I at (0.0000, 0.0000, 0.5000).

Here is AgWBr2 at its PBEsol-relaxed geometry from Alexandria. Energies are from SCAN.

The value obtained for the formation energy (no corrections) is 71.3 kJ/mol of atoms. The calculation puts the polymorph energy (0 for the lowest one) at 125.5 meV per atom. As for the volume: 168 Å³/cell.

It has space group Imm2 (No. 44), with a = 3.0109 Å, b = 4.5419 Å, c = 12.3059 Å, α = 90.00°, β = 90.00° and γ = 90.00°. The distinct sites, in fractional coordinates, are Ag at (0.0000, 0.0000, 0.0000), W at (0.0000, 0.5000, 0.3031), Br at (0.0000, 0.0000, 0.6337) and Br at (0.0000, 0.5000, 0.8339).

Here is ReP2RuS at its PBEsol-relaxed geometry from Alexandria. Energies are from SCAN.

The value obtained for the formation energy (no corrections) is 152.4 kJ/mol of atoms. As for the volume: 76 Å³/cell.

It has space group P4/mmm (No. 123), with a = 4.2441 Å, b = 4.2441 Å, c = 4.2178 Å, α = 90.00°, β = 90.00° and γ = 90.00°. The distinct sites, in fractional coordinates, are Re at (0.0000, 0.0000, 0.0000), P at (0.0000, 0.5000, 0.5000), Ru at (0.5000, 0.5000, 0.0000) and S at (0.5000, 0.5000, 0.5000).

Here is CrAsPt at its PBEsol-relaxed geometry from Alexandria. Energies are from SCAN.

As for the volume: 43 Å³/cell. The formation energy is 1.28 kcal/mol of atoms.

It has space group P3m1 (No. 156), with a = 2.8278 Å, b = 2.8278 Å, c = 6.1409 Å, α = 90.00°, β = 90.00° and γ = 120.00°. The distinct sites, in fractional coordinates, are Cr at (0.0000, 0.0000, 0.0000), As at (0.3333, 0.6667, 0.2994) and Pt at (0.6667, 0.3333, 0.6741).

Here is ScTl2Os at its PBEsol-relaxed geometry from Alexandria. Energies are from SCAN.

The calculation puts the polymorph energy (0 for the lowest one) at 448.8 meV per atom. As for the volume: 240 Å³/cell. The formation energy is 11.75 kcal/mol of atoms.

It has space group R-3m (No. 166, hexagonal axes), with a = 3.1672 Å, b = 3.1672 Å, c = 27.6407 Å, α = 90.00°, β = 90.00° and γ = 120.00°. The distinct sites, in fractional coordinates, are Sc at (0.0000, 0.0000, 0.0000), Tl at (0.0000, 0.0000, 0.2441) and Os at (0.0000, 0.0000, 0.5000).

Here is La2YHg2 at its PBEsol-relaxed geometry from Alexandria. Energies are from SCAN.

As for the volume: 293 Å³/cell. The formation energy is -13.61 kcal/mol of atoms.

It has space group P4/mbm (No. 127), with a = 8.6469 Å, b = 8.6469 Å, c = 3.9224 Å, α = 90.00°, β = 90.00° and γ = 90.00°. The distinct sites, in fractional coordinates, are La at (0.1674, 0.3326, 0.0000), Y at (0.0000, 0.0000, 0.5000) and Hg at (0.1301, 0.6301, 0.5000).